A relaxed structure of DyTiSe2, computed with PBE.

## Properties
Offset from the most stable computed form, meV/atom: 27
M_tot, μB per cell: 1.13
SG: R-3m (166)
Formation energy from raw total energies, eV/f.u.: -5.1
V, Å³/atom: 21.2

Geometry as CIF:
```
data_DyTiSe2
_chemical_formula_sum 'Dy1 Ti1 Se2'
_cell_length_a 3.9708
_cell_length_b 3.9708
_cell_length_c 6.6191
_cell_angle_alpha 72.55
_cell_angle_beta 72.55
_cell_angle_gamma 60.00
_symmetry_space_group_name_H-M 'P 1'
_symmetry_Int_Tables_number 1
_symmetry_space_group_name_Hall 'P 1'
loop_
_atom_site_label
_atom_site_type_symbol
_atom_site_fract_x
_atom_site_fract_y
_atom_site_fract_z
_atom_site_occupancy
Ti1 Ti 0.0000 0.0000 0.0000 1
Se1 Se 0.2582 0.2582 0.2254 1
Se2 Se 0.7418 0.7418 0.7746 1
Dy1 Dy 0.5000 0.5000 0.5000 1
```